No. 1
# AcTb3Ho6 (PBE-GGA, optimized geometry)
# Relative energy among the computed polymorphs: 92 meV/atom
# Formation energy from the elements: 0.240 eV per atom
data_AcTb3Ho6
_chemical_formula_sum 'Ac2 Tb6 Ho12'
_cell_length_a 11.3720
_cell_length_b 6.5444
_cell_length_c 9.7908
_cell_angle_alpha 90.00
_cell_angle_beta 113.11
_cell_angle_gamma 90.00
_symmetry_space_group_name_H-M 'C 1 2/m 1'
_symmetry_Int_Tables_number 12
_symmetry_space_group_name_Hall '-C 2y'
loop_
_atom_site_label
_atom_site_type_symbol
_atom_site_fract_x
_atom_site_fract_y
_atom_site_fract_z
_atom_site_occupancy
Ac1 Ac 0.0000 0.0000 0.0000 1
Tb1 Tb 0.0000 0.5000 0.5000 1
Tb2 Tb 0.0658 0.0000 0.6890 1
Ho1 Ho 0.1379 0.5000 0.9136 1
Ho2 Ho 0.1875 0.2523 0.3143 1

***

No. 2
# LiDy2Hg4 (PBE-GGA, optimized geometry)
# Relative energy among the computed polymorphs: 126 meV/atom
# Formation energy from the elements: -0.186 eV per atom
data_LiDy2Hg4
_chemical_formula_sum 'Li2 Dy4 Hg8'
_cell_length_a 4.7610
_cell_length_b 4.7610
_cell_length_c 15.5860
_cell_angle_alpha 90.00
_cell_angle_beta 90.00
_cell_angle_gamma 90.00
_symmetry_space_group_name_H-M 'I 4/m m m'
_symmetry_Int_Tables_number 139
_symmetry_space_group_name_Hall '-I 4 2'
loop_
_atom_site_label
_atom_site_type_symbol
_atom_site_fract_x
_atom_site_fract_y
_atom_site_fract_z
_atom_site_occupancy
Li1 Li 0.0000 0.0000 0.0000 1
Dy1 Dy 0.0000 0.0000 0.3634 1
Hg1 Hg 0.0000 0.0000 0.1708 1
Hg2 Hg 0.0000 0.5000 0.0000 1

***

No. 3
# YBeF2 (PBE-GGA, optimized geometry)
# Relative energy among the computed polymorphs: 0 meV/atom
# Uncorrected formation energy: -7.00 eV per formula unit
data_YBeF2
_chemical_formula_sum 'Y3 Be3 F6'
_cell_length_a 3.2690
_cell_length_b 3.2690
_cell_length_c 20.2696
_cell_angle_alpha 90.00
_cell_angle_beta 90.00
_cell_angle_gamma 120.00
_symmetry_space_group_name_H-M 'R -3 m'
_symmetry_Int_Tables_number 166
_symmetry_space_group_name_Hall '-R 3 2"'
loop_
_atom_site_label
_atom_site_type_symbol
_atom_site_fract_x
_atom_site_fract_y
_atom_site_fract_z
_atom_site_occupancy
Y1 Y 0.0000 0.0000 0.0000 1
Be1 Be 0.0000 0.0000 0.5000 1
F1 F 0.0000 0.0000 0.4228 1

***

No. 4
# HoNp2UP4 (PBE-GGA, optimized geometry)
# Formation energy from the elements: -1.086 eV per atom
data_HoNp2UP4
_chemical_formula_sum 'Ho1 Np2 U1 P4'
_cell_length_a 6.8139
_cell_length_b 3.9614
_cell_length_c 6.8949
_cell_angle_alpha 90.00
_cell_angle_beta 109.45
_cell_angle_gamma 90.00
_symmetry_space_group_name_H-M 'P 1 2/m 1'
_symmetry_Int_Tables_number 10
_symmetry_space_group_name_Hall '-P 2y'
loop_
_atom_site_label
_atom_site_type_symbol
_atom_site_fract_x
_atom_site_fract_y
_atom_site_fract_z
_atom_site_occupancy
Ho1 Ho 0.0000 0.0000 0.0000 1
Np1 Np 0.5000 0.0000 0.5000 1
Np2 Np 0.5000 0.5000 0.0000 1
U1 U 0.0000 0.5000 0.5000 1
P1 P 0.2499 0.0000 0.7486 1
P2 P 0.2518 0.5000 0.2531 1

***

No. 5
# DySc2ZnHg4 (PBE-GGA, optimized geometry)
# Formation energy from the elements: -0.316 eV per atom
data_DySc2ZnHg4
_chemical_formula_sum 'Dy3 Sc6 Zn3 Hg12'
_cell_length_a 4.9139
_cell_length_b 4.9139
_cell_length_c 25.5631
_cell_angle_alpha 90.00
_cell_angle_beta 90.00
_cell_angle_gamma 120.00
_symmetry_space_group_name_H-M 'R -3 m'
_symmetry_Int_Tables_number 166
_symmetry_space_group_name_Hall '-R 3 2"'
loop_
_atom_site_label
_atom_site_type_symbol
_atom_site_fract_x
_atom_site_fract_y
_atom_site_fract_z
_atom_site_occupancy
Dy1 Dy 0.0000 0.0000 0.0000 1
Sc1 Sc 0.0000 0.0000 0.2416 1
Zn1 Zn 0.0000 0.0000 0.5000 1
Hg1 Hg 0.0000 0.0000 0.1249 1
Hg2 Hg 0.0000 0.0000 0.3804 1

***

No. 6
# Ho2Cd2C (PBE-GGA, optimized geometry)
# Formation energy from the elements: -0.271 eV per atom
data_Ho2Cd2C
_chemical_formula_sum 'Ho6 Cd6 C3'
_cell_length_a 3.5516
_cell_length_b 3.5516
_cell_length_c 30.9383
_cell_angle_alpha 90.00
_cell_angle_beta 90.00
_cell_angle_gamma 120.00
_symmetry_space_group_name_H-M 'R -3 m'
_symmetry_Int_Tables_number 166
_symmetry_space_group_name_Hall '-R 3 2"'
loop_
_atom_site_label
_atom_site_type_symbol
_atom_site_fract_x
_atom_site_fract_y
_atom_site_fract_z
_atom_site_occupancy
Ho1 Ho 0.0000 0.0000 0.1233 1
Cd1 Cd 0.0000 0.0000 0.3708 1
C1 C 0.0000 0.0000 0.5000 1